First-principles (PBE) data for a relaxed Sr2GaCl crystal, as listed in Alexandria.

The space group is R3m (No. 160, hexagonal axes) and the conventional cell measures 4.2124, 4.2124 and 25.6301 Å, with angles of 90.00, 90.00 and 120.00 degrees. The distinct sites, in fractional coordinates, are Sr at (0.0000, 0.0000, 0.0000), Sr at (0.0000, 0.0000, 0.1720), Ga at (0.0000, 0.0000, 0.5862) and Cl at (0.0000, 0.0000, 0.7562).

For the formation energy from raw total energies, the calculation gives -1005 meV/atom.

=====

First-principles (PBE) data for a relaxed Sm2YTmSc4 crystal, as listed in Alexandria.

The space group is P4/mmm (No. 123) and the conventional cell measures 4.9383, 4.9383 and 9.2604 Å, with angles of 90.00, 90.00 and 90.00 degrees. The distinct sites, in fractional coordinates, are Sm at (0.0000, 0.0000, 0.0000), Sm at (0.5000, 0.5000, 0.5000), Y at (0.0000, 0.0000, 0.5000), Tm at (0.5000, 0.5000, 0.0000) and Sc at (0.0000, 0.5000, 0.2482).

The formation energy comes out at 0.054 eV/atom.

=====

no.,D(E_F) (states/eV per atom),E_tot (eV/atom)
1,0.3545,-3.0638
2,1.6677,-5.6581